This record from the Alexandria database describes a geometry-optimized Li2MgVF6 structure. The functional is GGA+U.

abc: 5.183 5.185 5.586
angles: 62.37 62.36 59.99
Element x y z (fractional)
Li 0.027 0.027 0.919
Li 0.525 0.525 0.426
F 0.713 0.110 0.770
F 0.589 0.227 0.259
F 0.227 0.925 0.258
F 0.110 0.408 0.769
F 0.408 0.713 0.769
F 0.925 0.589 0.258
Mg 0.318 0.318 0.045
V 0.819 0.819 0.542

Computed properties:
SG: R3 (146)
Energy in eV/cell: -54.4
Mass density in g/cm³: 3.1